Ac2PaIrN4 PBE-GGA relaxed; crystal system = tetragonal; D(E_F) = 8.5 states/eV/f.u.
1.0
-3.2232 3.2232 3.1835
3.2232 -3.2232 3.1835
3.2232 3.2232 -3.1835
Ac Pa Ir N
2 1 1 4
direct
0.0000 0.5000 0.5000
0.5000 0.0000 0.5000
0.0000 0.0000 0.0000
0.5000 0.5000 0.0000
0.0964 0.0964 0.6703
0.4261 0.4261 0.3297
0.5739 0.9036 0.0000
0.9036 0.5739 0.0000



Ac5IrPd2N PBE-GGA relaxed; crystal system = orthorhombic; D(E_F) = 4.4 states/eV/f.u.
1.0
2.1749 -9.3422 0.0000
2.1749 9.3422 0.0000
0.0000 0.0000 13.4173
Ac Ir Pd N
10 2 4 2
direct
0.0058 0.9942 0.5000
0.1466 0.8534 0.7446
0.1813 0.8187 0.1158
0.2116 0.7884 0.4154
0.4637 0.5363 0.7430
0.5363 0.4637 0.2430
0.7884 0.2116 0.9154
0.8187 0.1813 0.6158
0.8534 0.1466 0.2446
0.9942 0.0058 0.0000
0.3020 0.6980 0.7677
0.6980 0.3020 0.2677
0.3726 0.6274 0.0630
0.3916 0.6084 0.4120
0.6084 0.3916 0.9120
0.6274 0.3726 0.5630
0.0483 0.9517 0.1567
0.9517 0.0483 0.6567



no.,raw total energy (eV/atom)
1,-7.815
2,-6.113